VASP calculation (PBE) on a relaxed InFe2 crystal.

Geometry as CIF:
```
data_InFe2
_chemical_formula_sum 'In1 Fe2'
_space_group_name_H-M_alt 'P 1'
_space_group_IT_number 1
_cell_length_a 5.079
_cell_length_b 5.079
_cell_length_c 5.079
_cell_angle_alpha 144.26
_cell_angle_beta 144.26
_cell_angle_gamma 51.44
loop_
_space_group_symop_operation_xyz
'x,y,z'
loop_
_atom_site_label
_atom_site_type_symbol
_atom_site_fract_x
_atom_site_fract_y
_atom_site_fract_z
In1 In 0.000 0.000 0.000
Fe1 Fe 0.311 0.311 0.000
Fe2 Fe 0.689 0.689 0.000
```

Summary:
- symmetry = I4/mmm (139)
- V (Å³/atom) = 14.8
- raw total energy (eV/cell) = -19.24
- energy of formation from the pure elements (meV per atom) = 142

---

VASP calculation (PBE) on a relaxed SmCuF5 crystal.

Geometry as CIF:
```
data_SmCuF5
_chemical_formula_sum 'Sm2 Cu2 F10'
_space_group_name_H-M_alt 'P 1'
_space_group_IT_number 1
_cell_length_a 5.708
_cell_length_b 5.708
_cell_length_c 7.463
_cell_angle_alpha 107.74
_cell_angle_beta 107.74
_cell_angle_gamma 77.50
loop_
_space_group_symop_operation_xyz
'x,y,z'
loop_
_atom_site_label
_atom_site_type_symbol
_atom_site_fract_x
_atom_site_fract_y
_atom_site_fract_z
Sm1 Sm 0.061 0.939 0.750
Sm2 Sm 0.939 0.061 0.250
Cu1 Cu 0.500 0.500 0.000
Cu2 Cu 0.500 0.500 0.500
F1 F 0.159 0.805 0.035
F2 F 0.195 0.841 0.465
F3 F 0.234 0.311 0.379
F4 F 0.311 0.234 0.879
F5 F 0.393 0.607 0.750
F6 F 0.607 0.393 0.250
F7 F 0.689 0.766 0.121
F8 F 0.766 0.689 0.621
F9 F 0.805 0.159 0.535
F10 F 0.841 0.195 0.965
```

Summary:
- energy relative to the elements, uncorrected (eV per atom) = -2.9631
- symmetry = C2/c (15)
- V (Å³/atom) = 15.6
- raw total energy (eV/cell) = -77.83

---

VASP calculation (PBE) on a relaxed Ge2Pd12Au5 crystal.

Geometry as CIF:
```
data_Ge2Pd12Au5
_chemical_formula_sum 'Ge2 Pd12 Au5'
_space_group_name_H-M_alt 'P 1'
_space_group_IT_number 1
_cell_length_a 8.059
_cell_length_b 8.059
_cell_length_c 5.166
_cell_angle_alpha 98.40
_cell_angle_beta 98.40
_cell_angle_gamma 69.83
loop_
_space_group_symop_operation_xyz
'x,y,z'
loop_
_atom_site_label
_atom_site_type_symbol
_atom_site_fract_x
_atom_site_fract_y
_atom_site_fract_z
Ge1 Ge 0.244 0.756 0.000
Ge2 Ge 0.756 0.244 0.000
Pd1 Pd 0.049 0.049 0.278
Pd2 Pd 0.058 0.564 0.788
Pd3 Pd 0.144 0.659 0.353
Pd4 Pd 0.341 0.856 0.647
Pd5 Pd 0.396 0.396 0.997
Pd6 Pd 0.436 0.942 0.212
Pd7 Pd 0.564 0.058 0.788
Pd8 Pd 0.604 0.604 0.003
Pd9 Pd 0.659 0.144 0.353
Pd10 Pd 0.856 0.341 0.647
Pd11 Pd 0.942 0.436 0.212
Pd12 Pd 0.951 0.951 0.722
Au1 Au 0.181 0.181 0.895
Au2 Au 0.282 0.282 0.456
Au3 Au 0.500 0.500 0.500
Au4 Au 0.718 0.718 0.544
Au5 Au 0.819 0.819 0.105
```

Summary:
- symmetry = C2/m (12)
- polymorph energy (0 for the lowest one) (eV per atom) = 0.0000
- V (Å³/atom) = 16.3
- raw total energy (eV/cell) = -91.13
- energy of formation from the pure elements (meV per atom) = -168

---

VASP calculation (PBE) on a relaxed Ca2TlFe crystal.

Geometry as CIF:
```
data_Ca2TlFe
_chemical_formula_sum 'Ca2 Tl1 Fe1'
_space_group_name_H-M_alt 'P 1'
_space_group_IT_number 1
_cell_length_a 3.612
_cell_length_b 3.612
_cell_length_c 8.370
_cell_angle_alpha 90.00
_cell_angle_beta 90.00
_cell_angle_gamma 90.00
loop_
_space_group_symop_operation_xyz
'x,y,z'
loop_
_atom_site_label
_atom_site_type_symbol
_atom_site_fract_x
_atom_site_fract_y
_atom_site_fract_z
Ca1 Ca 0.000 0.000 0.000
Ca2 Ca 0.500 0.500 0.371
Tl1 Tl 0.500 0.500 0.750
Fe1 Fe 0.000 0.000 0.599
```

Summary:
- symmetry = P4mm (99)
- V (Å³/atom) = 27.3
- raw total energy (eV/cell) = -13.99
- energy of formation from the pure elements (meV per atom) = 210

---

VASP calculation (PBE) on a relaxed AgSb2 crystal.

Geometry as CIF:
```
data_AgSb2
_chemical_formula_sum 'Ag1 Sb2'
_space_group_name_H-M_alt 'P 1'
_space_group_IT_number 1
_cell_length_a 4.455
_cell_length_b 4.455
_cell_length_c 4.141
_cell_angle_alpha 90.00
_cell_angle_beta 90.00
_cell_angle_gamma 90.00
loop_
_space_group_symop_operation_xyz
'x,y,z'
loop_
_atom_site_label
_atom_site_type_symbol
_atom_site_fract_x
_atom_site_fract_y
_atom_site_fract_z
Ag1 Ag 0.000 0.000 0.000
Sb1 Sb 0.000 0.500 0.500
Sb2 Sb 0.500 0.000 0.500
```

Summary:
- energy relative to the elements, uncorrected (eV per atom) = 0.1694
- symmetry = P4/mmm (123)
- V (Å³/atom) = 27.4
- raw total energy (eV/cell) = -10.59

---

VASP calculation (PBE) on a relaxed AlAsCl2 crystal.

Geometry as CIF:
```
data_AlAsCl2
_chemical_formula_sum 'Al1 As1 Cl2'
_space_group_name_H-M_alt 'P 1'
_space_group_IT_number 1
_cell_length_a 9.431
_cell_length_b 9.431
_cell_length_c 9.431
_cell_angle_alpha 20.18
_cell_angle_beta 20.18
_cell_angle_gamma 20.18
loop_
_space_group_symop_operation_xyz
'x,y,z'
loop_
_atom_site_label
_atom_site_type_symbol
_atom_site_fract_x
_atom_site_fract_y
_atom_site_fract_z
Al1 Al 0.000 0.000 0.000
As1 As 0.500 0.500 0.500
Cl1 Cl 0.410 0.410 0.410
Cl2 Cl 0.590 0.590 0.590
```

Summary:
- energy relative to the elements, uncorrected (eV per atom) = -0.1257
- symmetry = R-3m (166)
- polymorph energy (0 for the lowest one) (eV per atom) = 0.4937
- V (Å³/atom) = 21.8
- raw total energy (eV/cell) = -12.59

---

VASP calculation (PBE) on a relaxed NaCrMoC2 crystal.

Geometry as CIF:
```
data_NaCrMoC2
_chemical_formula_sum 'Na1 Cr1 Mo1 C2'
_space_group_name_H-M_alt 'P 1'
_space_group_IT_number 1
_cell_length_a 4.187
_cell_length_b 4.187
_cell_length_c 4.636
_cell_angle_alpha 90.00
_cell_angle_beta 90.00
_cell_angle_gamma 90.00
loop_
_space_group_symop_operation_xyz
'x,y,z'
loop_
_atom_site_label
_atom_site_type_symbol
_atom_site_fract_x
_atom_site_fract_y
_atom_site_fract_z
Na1 Na 0.000 0.000 0.000
Cr1 Cr 0.500 0.500 0.000
Mo1 Mo 0.500 0.500 0.500
C1 C 0.000 0.500 0.500
C2 C 0.500 0.000 0.500
```

Summary:
- symmetry = P4/mmm (123)
- V (Å³/atom) = 16.3
- raw total energy (eV/cell) = -31.13
- energy of formation from the pure elements (meV per atom) = 1819

---

VASP calculation (PBE) on a relaxed Cd2TcBr crystal.

Geometry as CIF:
```
data_Cd2TcBr
_chemical_formula_sum 'Cd2 Tc1 Br1'
_space_group_name_H-M_alt 'P 1'
_space_group_IT_number 1
_cell_length_a 7.155
_cell_length_b 7.155
_cell_length_c 4.783
_cell_angle_alpha 109.44
_cell_angle_beta 109.44
_cell_angle_gamma 24.63
loop_
_space_group_symop_operation_xyz
'x,y,z'
loop_
_atom_site_label
_atom_site_type_symbol
_atom_site_fract_x
_atom_site_fract_y
_atom_site_fract_z
Cd1 Cd 0.000 0.000 0.000
Cd2 Cd 0.150 0.150 0.649
Tc1 Tc 0.470 0.470 0.470
Br1 Br 0.816 0.816 0.317
```

Summary:
- energy relative to the elements, uncorrected (eV per atom) = 0.2434
- symmetry = Cm (8)
- polymorph energy (0 for the lowest one) (eV per atom) = 0.0000
- V (Å³/atom) = 24.0
- raw total energy (eV/cell) = -12.90

---

Which of these has the highest V? AgSb2